Entry 1:
The following is a PBE-GGA calculation of a relaxed ScTlGe3 crystal, from Alexandria via LeMat-Bulk.

Values from the calculation:
DOS(E_F) in states/eV per cell: 5.4
Magnetization in μB/atom: 0.00
DFT total energy in eV/atom: -3.589
Crystal system: cubic

The structure in POSCAR format:
```
ScTlGe3
1.0
5.251 0.000 0.000
0.000 5.251 0.000
0.000 0.000 5.251
Sc Tl Ge
1 1 3
Cartesian
2.625 2.625 2.625 Sc
0.000 0.000 0.000 Tl
0.000 2.625 0.000 Ge
2.625 0.000 0.000 Ge
0.000 0.000 2.625 Ge
```

Entry 2:
The following is a PBE-GGA calculation of a relaxed InFe2IrC crystal, from Alexandria via LeMat-Bulk.

Values from the calculation:
DOS(E_F) in states/eV per cell: 4.8
Magnetization in μB/atom: 0.70
DFT total energy in eV/atom: -7.431
Crystal system: tetragonal

The structure in POSCAR format:
```
InFe2IrC
1.0
-3.374 1.963 -0.593
0.387 -0.512 -3.895
-2.097 -3.527 0.256
Fe In Ir C
2 1 1 1
Cartesian
0.193 -0.256 -1.948 Fe
-1.687 0.981 -0.296 Fe
-2.542 -1.038 -2.116 In
-1.048 -1.764 0.128 Ir
0.000 0.000 0.000 C
```

Entry 3:
The following is a PBE-GGA calculation of a relaxed CsTeI2Cl crystal, from Alexandria via LeMat-Bulk.

Values from the calculation:
DOS(E_F) in states/eV per cell: 4.6
Magnetization in μB/atom: 0.40
DFT total energy in eV/atom: -2.067
Energy relative to the elements, uncorrected in eV/atom: -0.278
Crystal system: tetragonal

The structure in POSCAR format:
```
CsTeI2Cl
1.0
6.954 0.000 0.000
0.000 6.954 0.000
0.000 0.000 5.056
Te I Cl Cs
1 2 1 1
Cartesian
0.000 0.000 2.528 Te
3.477 0.000 0.000 I
0.000 3.477 0.000 I
0.000 0.000 0.000 Cl
3.477 3.477 2.528 Cs
```

Entry 4:
The following is a PBE-GGA calculation of a relaxed AcAu2I8 crystal, from Alexandria via LeMat-Bulk.

Values from the calculation:
DOS(E_F) in states/eV per cell: 4.6
Magnetization in μB/atom: 0.00
DFT total energy in eV/atom: -2.636
Energy relative to the elements, uncorrected in eV/atom: -0.539
Crystal system: tetragonal

The structure in POSCAR format:
```
AcAu2I8
1.0
-7.142 -1.515 3.619
3.915 -3.249 6.366
1.832 8.557 -1.976
I Au Ac
8 2 1
Cartesian
-3.205 -2.047 7.982 I
-2.853 4.851 2.390 I
0.974 -1.773 7.117 I
0.077 0.088 3.373 I
0.187 3.445 5.048 I
0.151 6.101 -0.385 I
-4.102 -0.186 4.238 I
3.191 4.694 2.273 I
-3.462 2.330 3.318 Au
2.067 1.463 4.691 Au
-1.614 -2.382 4.993 Ac
```

Entry 5:
The following is a PBE-GGA calculation of a relaxed AcInSeO6 crystal, from Alexandria via LeMat-Bulk.

Values from the calculation:
DOS(E_F) in states/eV per cell: 0.0
Magnetization in μB/atom: 0.00
DFT total energy in eV/atom: -6.150
Energy relative to the elements, uncorrected in eV/atom: -1.697
Crystal system: trigonal

The structure in POSCAR format:
```
AcInSeO6
1.0
-1.550 3.806 -3.305
-1.612 -3.705 -3.511
-3.399 1.834 3.706
O In Ac Se
6 1 1 1
Cartesian
-3.603 -0.472 -4.779 O
-1.604 1.645 -3.278 O
-4.472 -1.216 -1.792 O
-1.684 -1.545 -3.480 O
-1.844 0.562 -0.977 O
-4.691 1.290 -2.240 O
-2.983 0.044 -2.758 In
-2.804 -0.012 1.301 Ac
-0.775 1.903 -1.653 Se
```

Entry 6:
The following is a PBE-GGA calculation of a relaxed Tb2DyY2 crystal, from Alexandria via LeMat-Bulk.

Values from the calculation:
DOS(E_F) in states/eV per cell: 30.9
Magnetization in μB/atom: 0.00
DFT total energy in eV/atom: -5.312
Crystal system: monoclinic

The structure in POSCAR format:
```
Tb2DyY2
1.0
-4.179 -3.029 3.199
7.269 -0.471 9.050
-1.233 9.375 1.478
Tb Y Dy
8 8 4
Cartesian
3.822 0.239 6.196 Tb
-0.424 4.128 2.361 Tb
-0.638 2.492 6.294 Tb
2.496 3.382 7.433 Tb
3.615 -1.397 10.140 Tb
-1.964 5.635 7.531 Tb
-1.757 7.271 3.587 Tb
2.282 1.746 11.367 Tb
-3.267 -2.044 4.351 Y
1.188 6.524 8.676 Y
0.670 -0.650 5.051 Y
5.026 1.696 9.139 Y
5.125 7.919 9.376 Y
-3.168 4.178 4.588 Y
1.082 0.302 8.429 Y
0.776 5.572 5.298 Y
2.107 2.435 4.081 Dy
-1.852 1.041 3.353 Dy
-0.249 3.440 9.646 Dy
3.710 4.833 10.374 Dy
```

Entry 7:
The following is a PBE-GGA calculation of a relaxed TaNb2FeH crystal, from Alexandria via LeMat-Bulk.

Values from the calculation:
DOS(E_F) in states/eV per cell: 3.7
Magnetization in μB/atom: 0.25
DFT total energy in eV/atom: -8.814
Crystal system: tetragonal

The structure in POSCAR format:
```
TaNb2FeH
1.0
4.491 0.000 0.000
0.000 4.491 0.000
0.000 0.000 3.378
Fe H Nb Ta
1 1 2 1
Cartesian
0.000 0.000 1.689 Fe
0.000 0.000 0.000 H
2.246 0.000 0.000 Nb
0.000 2.246 0.000 Nb
2.246 2.246 1.689 Ta
```

Entry 8:
The following is a PBE-GGA calculation of a relaxed ZnTc3N crystal, from Alexandria via LeMat-Bulk.

Values from the calculation:
DOS(E_F) in states/eV per cell: 6.1
Magnetization in μB/atom: 0.00
DFT total energy in eV/atom: -8.056
Energy relative to the elements, uncorrected in eV/atom: 0.084
Crystal system: triclinic

The structure in POSCAR format:
```
ZnTc3N
1.0
-2.860 3.455 0.900
-1.891 -1.714 4.640
4.434 3.279 1.177
Zn Tc N
2 6 2
Cartesian
-2.096 3.128 1.518 Zn
2.713 3.586 2.833 Zn
0.198 4.650 2.394 Tc
-3.259 1.650 3.496 Tc
0.518 2.026 2.068 Tc
1.299 2.113 4.701 Tc
-0.803 0.551 4.097 Tc
-1.181 3.278 4.060 Tc
-0.574 2.046 5.555 N
-2.651 0.272 4.910 N
```

Entry 9:
The following is a PBE-GGA calculation of a relaxed Cu2HgGeO4 crystal, from Alexandria via LeMat-Bulk.

Values from the calculation:
DOS(E_F) in states/eV per cell: 3.9
Magnetization in μB/atom: 0.00
DFT total energy in eV/atom: -4.863
Energy relative to the elements, uncorrected in eV/atom: -0.745
Crystal system: orthorhombic

The structure in POSCAR format:
```
Cu2HgGeO4
1.0
5.361 0.662 0.000
0.215 5.397 0.000
-2.788 -3.030 3.765
O Cu Hg Ge
4 2 1 1
Cartesian
-0.954 -1.036 2.550 O
3.849 2.053 0.944 O
1.726 4.006 0.944 O
0.954 1.036 2.550 O
2.680 0.331 2.242 Cu
0.107 2.699 2.242 Cu
2.788 3.030 3.680 Hg
0.000 0.000 3.677 Ge
```

Entry 10:
The following is a PBE-GGA calculation of a relaxed DyHoAlNi crystal, from Alexandria via LeMat-Bulk.

Values from the calculation:
DOS(E_F) in states/eV per cell: 3.5
Magnetization in μB/atom: 0.00
DFT total energy in eV/atom: -4.999
Crystal system: cubic

The structure in POSCAR format:
```
DyHoAlNi
1.0
-3.638 1.449 3.040
-4.420 -2.240 -0.178
-1.440 -2.942 3.722
Al Ho Dy Ni
1 1 1 1
Cartesian
0.000 0.000 0.000 Al
-2.375 -0.933 1.646 Ho
-7.124 -2.800 4.938 Dy
-4.749 -1.866 3.292 Ni
```

Entry 11:
The following is a PBE-GGA calculation of a relaxed SmY2ZrP4 crystal, from Alexandria via LeMat-Bulk.

Values from the calculation:
DOS(E_F) in states/eV per cell: 1.5
Magnetization in μB/atom: 0.00
DFT total energy in eV/atom: -7.512
Crystal system: monoclinic

The structure in POSCAR format:
```
SmY2ZrP4
1.0
3.957 0.000 0.000
0.000 6.862 0.133
0.000 -2.385 6.423
Y Zr P Sm
2 1 4 1
Cartesian
0.000 2.238 3.278 Y
1.978 -1.192 3.212 Y
0.000 0.000 0.000 Zr
0.000 -0.149 4.865 P
1.978 1.051 1.577 P
1.978 3.425 4.980 P
0.000 4.626 1.691 P
1.978 3.431 0.067 Sm
```

Entry 12:
The following is a PBE-GGA calculation of a relaxed Pm2NF crystal, from Alexandria via LeMat-Bulk.

Values from the calculation:
DOS(E_F) in states/eV per cell: 1.4
Magnetization in μB/atom: 0.00
DFT total energy in eV/atom: -6.962
Energy relative to the elements, uncorrected in eV/atom: -2.037
Crystal system: trigonal

The structure in POSCAR format:
```
Pm2NF
1.0
-0.442 -3.583 0.330
2.060 -2.267 -1.940
4.481 -0.104 4.878
Pm F N
2 1 1
Cartesian
3.812 -5.119 1.233 Pm
1.391 -3.125 -0.279 Pm
4.257 -3.191 2.841 F
1.923 -1.200 1.424 N
```

Entry 13:
The following is a PBE-GGA calculation of a relaxed RbCrSb2Te crystal, from Alexandria via LeMat-Bulk.

Values from the calculation:
DOS(E_F) in states/eV per cell: 6.6
Magnetization in μB/atom: 0.80
DFT total energy in eV/atom: -2.804
Energy relative to the elements, uncorrected in eV/atom: 1.591
Crystal system: tetragonal

The structure in POSCAR format:
```
RbCrSb2Te
1.0
-5.984 0.452 -0.554
-0.418 -6.000 -0.382
-0.593 -0.348 6.118
Rb Sb Te Cr
1 2 1 1
Cartesian
0.000 0.000 0.000 Rb
-2.992 0.226 -0.277 Sb
-0.209 -3.000 -0.191 Sb
-0.297 -0.174 3.059 Te
-3.498 -2.948 2.591 Cr
```

Entry 14:
The following is a PBE-GGA calculation of a relaxed Pr2HoIn3 crystal, from Alexandria via LeMat-Bulk.

Values from the calculation:
DOS(E_F) in states/eV per cell: 11.6
Magnetization in μB/atom: 0.00
DFT total energy in eV/atom: -4.024
Crystal system: orthorhombic

The structure in POSCAR format:
```
Pr2HoIn3
1.0
-1.076 3.631 -0.053
-5.770 -1.670 2.685
6.257 0.076 13.492
In Pr Ho
6 4 2
Cartesian
-2.048 1.495 8.621 In
-5.356 0.458 4.740 In
1.995 0.777 12.674 In
4.767 1.579 11.385 In
-2.585 1.260 3.450 In
1.459 0.542 7.503 In
-1.381 -0.397 0.815 Pr
-2.557 -0.667 6.182 Pr
1.968 2.704 9.942 Pr
0.792 2.434 15.309 Pr
-0.543 -0.001 10.925 Ho
-0.046 2.038 5.200 Ho
```

Entry 15:
The following is a PBE-GGA calculation of a relaxed CsYPd2 crystal, from Alexandria via LeMat-Bulk.

Values from the calculation:
DOS(E_F) in states/eV per cell: 0.0
Magnetization in μB/atom: 0.00
DFT total energy in eV/atom: -4.399
Crystal system: tetragonal

The structure in POSCAR format:
```
CsYPd2
1.0
-4.078 -2.598 6.511
1.579 -7.679 -2.075
2.145 -5.027 4.388
Pd Y Cs
4 2 2
Cartesian
0.764 -6.540 1.012 Pd
-1.566 -3.682 4.509 Pd
0.768 -8.094 4.828 Pd
-0.674 -12.294 7.299 Pd
1.237 -8.923 2.265 Y
-1.249 -5.139 2.218 Y
0.000 0.000 0.000 Cs
-1.591 -6.382 6.558 Cs
```

Entry 16:
The following is a PBE-GGA calculation of a relaxed Ac2LaS3 crystal, from Alexandria via LeMat-Bulk.

Values from the calculation:
DOS(E_F) in states/eV per cell: 10.1
Magnetization in μB/atom: 0.00
DFT total energy in eV/atom: -6.315
Energy relative to the elements, uncorrected in eV/atom: -2.061
Crystal system: orthorhombic

The structure in POSCAR format:
```
Ac2LaS3
1.0
7.269 0.047 -1.350
-2.768 6.722 -1.350
-0.038 -0.057 13.383
Ac La S
8 4 12
Cartesian
3.355 5.045 4.656 Ac
3.637 0.027 -0.663 Ac
1.108 1.667 6.029 Ac
2.617 3.935 0.643 Ac
1.846 2.776 10.042 Ac
5.107 2.238 7.334 Ac
4.375 1.136 3.350 Ac
5.845 3.348 11.347 Ac
0.369 0.555 2.007 La
-0.647 4.470 3.335 La
0.091 5.580 7.350 La
4.094 6.157 8.677 La
1.090 1.640 -0.654 S
4.365 1.050 10.009 S
2.588 3.965 7.367 S
-1.368 3.385 5.996 S
0.372 0.488 8.736 S
0.813 6.664 4.688 S
-0.688 4.480 9.990 S
3.411 5.129 -2.045 S
4.157 6.180 1.948 S
0.066 5.614 0.695 S
1.808 2.791 3.317 S
5.183 2.281 0.675 S
```

Entry 17:
The following is a PBE-GGA calculation of a relaxed Nd3B2PdPt9 crystal, from Alexandria via LeMat-Bulk.

Values from the calculation:
DOS(E_F) in states/eV per cell: 4.9
Magnetization in μB/atom: 0.00
DFT total energy in eV/atom: -6.567
Crystal system: trigonal

The structure in POSCAR format:
```
Nd3B2PdPt9
1.0
-5.029 -2.012 -2.007
4.962 -2.434 -1.679
-0.498 -6.077 7.340
Nd Pd Pt B
3 1 9 2
Cartesian
0.000 0.000 0.000 Nd
1.332 -5.948 2.625 Nd
-1.897 -4.576 1.028 Nd
-0.249 -3.039 3.670 Pd
2.481 -1.217 -0.839 Pt
-1.195 -5.450 4.370 Pt
-3.750 -6.472 3.350 Pt
0.665 -2.815 1.157 Pt
-1.229 -7.709 2.497 Pt
-0.033 -2.223 -1.843 Pt
3.186 -4.052 0.304 Pt
0.631 -5.074 -0.716 Pt
-2.514 -1.006 -1.004 Pt
-2.123 -7.338 4.364 B
1.559 -3.186 -0.710 B
```

Entry 18:
The following is a PBE-GGA calculation of a relaxed Rb3In2Bi4 crystal, from Alexandria via LeMat-Bulk.

Values from the calculation:
DOS(E_F) in states/eV per cell: 3.5
Magnetization in μB/atom: 0.00
DFT total energy in eV/atom: -2.925
Crystal system: monoclinic

The structure in POSCAR format:
```
Rb3In2Bi4
1.0
5.003 0.000 0.000
2.500 7.278 1.702
0.001 0.646 10.348
In Bi Rb
2 4 3
Cartesian
2.500 3.533 7.402 In
5.003 4.391 4.649 In
2.502 5.945 5.455 Bi
5.002 4.288 1.550 Bi
2.501 3.636 10.500 Bi
5.002 1.979 6.596 Bi
5.001 6.232 8.453 Rb
0.000 0.000 0.000 Rb
2.502 1.692 3.598 Rb
```

Entry 19:
The following is a PBE-GGA calculation of a relaxed LiTe2Br crystal, from Alexandria via LeMat-Bulk.

Values from the calculation:
DOS(E_F) in states/eV per cell: 3.5
Magnetization in μB/atom: 0.00
DFT total energy in eV/atom: -2.539
Energy relative to the elements, uncorrected in eV/atom: -0.071
Crystal system: tetragonal

The structure in POSCAR format:
```
LiTe2Br
1.0
-5.433 -1.105 -1.074
1.247 -0.841 -5.444
0.524 -3.168 0.609
Li Te Br
1 2 1
Cartesian
0.886 -2.004 -2.417 Li
0.000 0.000 0.000 Te
-2.093 -0.973 -3.259 Te
-2.455 -2.137 -0.232 Br
```

Entry 20:
The following is a PBE-GGA calculation of a relaxed MgGa2OsO8 crystal, from Alexandria via LeMat-Bulk.

Values from the calculation:
DOS(E_F) in states/eV per cell: 0.5
Magnetization in μB/atom: 0.00
DFT total energy in eV/atom: -6.362
Energy relative to the elements, uncorrected in eV/atom: -1.483
Crystal system: orthorhombic

The structure in POSCAR format:
```
MgGa2OsO8
1.0
-0.527 0.712 -4.606
-2.436 -4.002 -0.087
-5.077 3.067 1.055
O Ga Mg Os
8 2 1 1
Cartesian
-0.895 -0.993 -1.422 O
-4.855 2.211 -2.928 O
-3.439 0.535 -0.903 O
-2.068 -2.297 -3.272 O
-6.036 -0.712 -0.118 O
-2.004 0.489 -3.520 O
-4.601 -0.758 -2.735 O
-3.186 -2.434 -0.710 O
-5.226 0.617 -1.568 Ga
-2.814 -0.840 -2.070 Ga
-2.539 1.534 0.528 Mg
0.000 0.000 0.000 Os
```

Entry 21:
The following is a PBE-GGA calculation of a relaxed Ba2TaAu crystal, from Alexandria via LeMat-Bulk.

Values from the calculation:
DOS(E_F) in states/eV per cell: 5.1
Magnetization in μB/atom: 0.05
DFT total energy in eV/atom: -4.223
Crystal system: tetragonal

The structure in POSCAR format:
```
Ba2TaAu
1.0
3.607 0.000 0.000
0.000 3.607 0.000
0.000 0.000 9.560
Ba Au Ta
2 1 1
Cartesian
0.000 0.000 9.429 Ba
0.000 0.000 4.911 Ba
1.803 1.803 7.170 Au
1.803 1.803 2.390 Ta
```

Entry 22:
The following is a PBE-GGA calculation of a relaxed CeGaP2O8 crystal, from Alexandria via LeMat-Bulk.

Values from the calculation:
DOS(E_F) in states/eV per cell: 6.6
Magnetization in μB/atom: 0.08
DFT total energy in eV/atom: -7.405
Energy relative to the elements, uncorrected in eV/atom: -2.451
Crystal system: trigonal

The structure in POSCAR format:
```
CeGaP2O8
1.0
4.971 0.000 0.000
-2.485 4.305 0.000
0.000 0.000 6.873
O Ga Ce P
8 1 1 2
Cartesian
-0.389 1.443 4.718 O
-1.041 3.920 4.718 O
2.874 2.862 2.155 O
2.485 1.435 0.156 O
1.055 1.058 2.155 O
1.430 3.246 4.718 O
3.527 0.385 2.155 O
0.000 2.870 6.718 O
0.000 0.000 3.437 Ga
0.000 0.000 0.000 Ce
0.000 2.870 5.176 P
2.485 1.435 1.698 P
```

Entry 23:
The following is a PBE-GGA calculation of a relaxed Tm2ZrGa crystal, from Alexandria via LeMat-Bulk.

Values from the calculation:
DOS(E_F) in states/eV per cell: 3.1
Magnetization in μB/atom: 0.00
DFT total energy in eV/atom: -5.398
Crystal system: tetragonal

The structure in POSCAR format:
```
Tm2ZrGa
1.0
3.412 0.000 0.000
0.000 3.412 0.000
0.000 0.000 8.352
Zr Tm Ga
1 2 1
Cartesian
1.706 1.706 4.176 Zr
0.000 0.000 6.448 Tm
0.000 0.000 1.904 Tm
1.706 1.706 0.000 Ga
```